The following is a GGA-PBE calculation of a geometry-optimized ZrPbSe2 structure, from Alexandria.

Properties
Space group ... Pm (6)

POSCAR file:
```
ZrPbSe2
1.0
6.4308 0.0000 0.0000
0.0000 3.7045 0.0000
-2.1214 0.0000 9.4576
Zr Pb Se
2 2 4
Direct
0.0000 0.0000 0.0000 Zr
0.4998 0.5000 0.0015 Zr
0.0184 0.5000 0.5009 Pb
0.4791 0.0000 0.5005 Pb
0.1089 0.5000 0.8246 Se
0.3909 0.0000 0.1768 Se
0.6080 0.0000 0.8256 Se
0.8918 0.5000 0.1758 Se
```

The following is a GGA-PBE calculation of a geometry-optimized ZrPbSe2 structure, from Alexandria.

Properties
Space group ... C2/c (15)

POSCAR file:
```
ZrPbSe2
1.0
9.2331 0.0000 0.0000
0.0000 8.1658 0.0000
-3.5768 0.0000 5.8486
Zr Pb Se
4 4 8
Direct
0.0000 0.0472 0.2500 Zr
0.0000 0.9528 0.7500 Zr
0.5000 0.4528 0.7500 Zr
0.5000 0.5472 0.2500 Zr
0.0000 0.4598 0.2500 Pb
0.0000 0.5402 0.7500 Pb
0.5000 0.0402 0.7500 Pb
0.5000 0.9598 0.2500 Pb
0.1657 0.1757 0.6667 Se
0.1657 0.8243 0.1667 Se
0.3343 0.3243 0.3333 Se
0.3343 0.6757 0.8333 Se
0.6657 0.3243 0.1667 Se
0.6657 0.6757 0.6667 Se
0.8343 0.1757 0.8333 Se
0.8343 0.8243 0.3333 Se
```

The following is a GGA-PBE calculation of a geometry-optimized ZrPbSe2 structure, from Alexandria.

Properties
Space group ... P4/mmm (123)

POSCAR file:
```
ZrPbSe2
1.0
4.1294 0.0000 0.0000
0.0000 4.1294 0.0000
0.0000 0.0000 5.8614
Zr Pb Se
1 1 2
Direct
0.0000 0.0000 0.0000 Zr
0.5000 0.5000 0.5000 Pb
0.0000 0.0000 0.5000 Se
0.5000 0.5000 0.0000 Se
```

The following is a GGA-PBE calculation of a geometry-optimized ZrPbSe2 structure, from Alexandria.

Properties
Space group ... Amm2 (38)

POSCAR file:
```
ZrPbSe2
1.0
5.2391 0.0000 0.0000
0.0000 3.9766 0.0000
0.0000 0.0000 9.8701
Zr Pb Se
2 2 4
Direct
0.0000 0.0000 0.0000 Zr
0.0000 0.5000 0.5000 Zr
0.5000 0.0000 0.6386 Pb
0.5000 0.5000 0.1386 Pb
0.0000 0.0000 0.2941 Se
0.0000 0.5000 0.7941 Se
0.5000 0.0000 0.9367 Se
0.5000 0.5000 0.4367 Se
```

The following is a GGA-PBE calculation of a geometry-optimized ZrPbSe2 structure, from Alexandria.

Properties
Space group ... R-3m (166)

POSCAR file:
```
ZrPbSe2
1.0
3.6965 0.0000 0.0000
-1.8482 3.2012 0.0000
0.0000 0.0000 28.4165
Zr Pb Se
3 3 6
Direct
0.0000 0.0000 0.0000 Zr
0.3333 0.6667 0.6667 Zr
0.6667 0.3333 0.3333 Zr
0.0000 0.0000 0.5000 Pb
0.3333 0.6667 0.1667 Pb
0.6667 0.3333 0.8333 Pb
0.0000 0.0000 0.3919 Se
0.0000 0.0000 0.6081 Se
0.3333 0.6667 0.0586 Se
0.3333 0.6667 0.2747 Se
0.6667 0.3333 0.7253 Se
0.6667 0.3333 0.9414 Se
```

The following is a GGA-PBE calculation of a geometry-optimized ZrPb2Se4 structure, from Alexandria.

Properties
Space group ... Pbam (55)

POSCAR file:
```
ZrPb2Se4
1.0
7.6377 0.0000 0.0000
0.0000 13.3864 0.0000
0.0000 0.0000 4.0325
Zr Pb Se
2 4 8
Direct
0.0000 0.0000 0.0000 Zr
0.5000 0.5000 0.0000 Zr
0.1322 0.3371 0.5000 Pb
0.3678 0.8371 0.5000 Pb
0.6322 0.1629 0.5000 Pb
0.8678 0.6629 0.5000 Pb
0.1008 0.8050 0.0000 Se
0.2328 0.0434 0.5000 Se
0.2672 0.5434 0.5000 Se
0.3992 0.3050 0.0000 Se
0.6008 0.6950 0.0000 Se
0.7328 0.4566 0.5000 Se
0.7672 0.9566 0.5000 Se
0.8992 0.1950 0.0000 Se
```

The following is a GGA-PBE calculation of a geometry-optimized ZrPb3Se structure, from Alexandria.

Properties
Polymorph energy (0 for the lowest one) ... 0.74 eV per formula unit
Space group ... Pm-3m (221)

POSCAR file:
```
ZrPb3Se
1.0
5.5750 0.0000 0.0000
0.0000 5.5750 0.0000
0.0000 0.0000 5.5750
Zr Pb Se
1 3 1
Direct
0.0000 0.0000 0.0000 Zr
0.0000 0.5000 0.5000 Pb
0.5000 0.0000 0.5000 Pb
0.5000 0.5000 0.0000 Pb
0.5000 0.5000 0.5000 Se
```

The following is a GGA-PBE calculation of a geometry-optimized ZrPbSe2 structure, from Alexandria.

Properties
Space group ... P2/m (10)

POSCAR file:
```
ZrPbSe2
1.0
3.4168 0.0000 0.0000
0.0000 3.4706 0.0000
-0.0080 0.0000 8.2887
Zr Pb Se
1 1 2
Direct
0.0000 0.0000 0.0000 Zr
0.5000 0.0000 0.5000 Pb
0.5001 0.5000 0.1855 Se
0.4999 0.5000 0.8145 Se
```

| no. | formation energy without anion corrections (kcal/mol of atoms) | VASP energy (eV/cell) |
| --- | --- | --- |
| 1 | -22.3 | -46.19 |
| 2 | -16.3 | -88.18 |
| 3 | -11.8 | -21.28 |
| 4 | -15.0 | -43.67 |
| 5 | -22.3 | -69.30 |
| 6 | -19.7 | -71.74 |
| 7 | 15.2 | -19.85 |
| 8 | -19.1 | -22.55 |